Entry from Alexandria: a geometry-optimized NaSi2Ru structure (GGA-PBE).

final energy = -5.261 eV/atom
raw formation energy = 0.399 eV per formula unit
energy above the lowest structure with this stoichiometry = 0.02 eV/f.u.
total magnetic moment = 0.00 μB/f.u.

abc: 4.323 4.323 4.323
angles: 60.00 60.00 60.00
Positions (direct):
Ru: 0.500 0.500 0.500
Si: 0.250 0.250 0.250
Si: 0.750 0.750 0.750
Na: 0.000 0.000 0.000